Record 1
The following is a PBE calculation of an optimized crystal structure of PaZnCo, from the Alexandria database.

Crystal system: cubic
Fermi-level density of states (states/eV/f.u.): 5.04
Energy relative to the elements (kJ per mole of atoms): -7.6

Unit cell a=6.1427 b=6.1427 c=6.1427 alpha=90.00 beta=90.00 gamma=90.00
Element x y z (fractional)
Pa: 0.0000 0.0000 0.0000
Pa: 0.0000 0.5000 0.5000
Pa: 0.5000 0.0000 0.5000
Pa: 0.5000 0.5000 0.0000
Zn: 0.0000 0.0000 0.5000
Zn: 0.0000 0.5000 0.0000
Zn: 0.5000 0.0000 0.0000
Zn: 0.5000 0.5000 0.5000
Co: 0.2500 0.2500 0.7500
Co: 0.2500 0.7500 0.2500
Co: 0.7500 0.2500 0.2500
Co: 0.7500 0.7500 0.7500

***

Record 2
The following is a PBE calculation of an optimized crystal structure of NaBeN, from the Alexandria database.

Crystal system: tetragonal
Fermi-level density of states (states/eV/f.u.): 0.65
Total energy (eV/cell): -30.08

Unit cell a=3.0616 b=3.0616 c=8.0817 alpha=90.00 beta=90.00 gamma=90.00
Element x y z (fractional)
Na: 0.2500 0.2500 0.2279
Na: 0.7500 0.7500 0.7721
Be: 0.2500 0.7500 0.5000
Be: 0.7500 0.2500 0.5000
N: 0.2500 0.2500 0.6099
N: 0.7500 0.7500 0.3901

***

Record 3
The following is a PBE calculation of an optimized crystal structure of PmNd8Co2, from the Alexandria database.

Crystal system: monoclinic
Fermi-level density of states (states/eV/f.u.): 15.93
Energy relative to the elements (kJ per mole of atoms): 7.1

Unit cell a=8.1908 b=8.1908 c=5.7295 alpha=95.50 beta=95.50 gamma=117.00
Element x y z (fractional)
Pm: 0.0000 0.0000 0.0000
Nd: 0.0788 0.3405 0.5640
Nd: 0.2577 0.7423 0.0000
Nd: 0.3405 0.0788 0.5640
Nd: 0.4069 0.4069 0.2085
Nd: 0.5931 0.5931 0.7915
Nd: 0.6595 0.9212 0.4360
Nd: 0.7423 0.2577 0.0000
Nd: 0.9212 0.6595 0.4360
Co: 0.2951 0.7049 0.5000
Co: 0.7049 0.2951 0.5000

***

Record 4
The following is a PBE calculation of an optimized crystal structure of TbSm4Ga2, from the Alexandria database.

Crystal system: trigonal
Fermi-level density of states (states/eV/f.u.): 10.82
Energy relative to the elements (kJ per mole of atoms): -8.9

Unit cell a=10.4610 b=10.4610 c=10.4610 alpha=27.83 beta=27.83 gamma=27.83
Element x y z (fractional)
Tb: 0.0000 0.0000 0.0000
Sm: 0.2022 0.2022 0.2022
Sm: 0.3968 0.3968 0.3968
Sm: 0.6032 0.6032 0.6032
Sm: 0.7978 0.7978 0.7978
Ga: 0.0991 0.0991 0.0991
Ga: 0.9009 0.9009 0.9009

***

Record 5
The following is a PBE calculation of an optimized crystal structure of ClF3, from the Alexandria database.

Crystal system: orthorhombic
Fermi-level density of states (states/eV/f.u.): 0.00
Total energy (eV/cell): -39.54

Unit cell a=6.6997 b=7.7326 c=5.6218 alpha=90.00 beta=90.00 gamma=90.00
Element x y z (fractional)
Cl: 0.0000 0.1732 0.2500
Cl: 0.0000 0.8268 0.7500
Cl: 0.5000 0.3268 0.7500
Cl: 0.5000 0.6732 0.2500
F: 0.0000 0.3832 0.2500
F: 0.0000 0.6168 0.7500
F: 0.2401 0.3221 0.7500
F: 0.2401 0.6779 0.2500
F: 0.2599 0.1779 0.2500
F: 0.2599 0.8221 0.7500
F: 0.5000 0.1168 0.7500
F: 0.5000 0.8832 0.2500
F: 0.7401 0.1779 0.2500
F: 0.7401 0.8221 0.7500
F: 0.7599 0.3221 0.7500
F: 0.7599 0.6779 0.2500

***

Record 6
The following is a PBE calculation of an optimized crystal structure of LiAgAs, from the Alexandria database.

Crystal system: tetragonal
Fermi-level density of states (states/eV/f.u.): 0.56
Excess energy over the best structure of this formula in the dataset (eV/atom): 0.1205
Energy relative to the elements (kJ per mole of atoms): -15.5

Unit cell a=2.8908 b=2.8908 c=12.3154 alpha=90.00 beta=90.00 gamma=90.00
Element x y z (fractional)
Li: 0.0000 0.0000 0.0000
Li: 0.5000 0.5000 0.5000
Ag: 0.0000 0.0000 0.3356
Ag: 0.5000 0.5000 0.8356
As: 0.0000 0.0000 0.6520
As: 0.5000 0.5000 0.1520

***

Record 7
The following is a PBE calculation of an optimized crystal structure of VRhS2, from the Alexandria database.

Crystal system: tetragonal
Fermi-level density of states (states/eV/f.u.): 3.68
Total energy (eV/cell): -106.48

Unit cell a=5.2635 b=5.2635 c=10.6152 alpha=90.00 beta=90.00 gamma=90.00
Element x y z (fractional)
V: 0.0000 0.0000 0.0000
V: 0.0000 0.5000 0.2500
V: 0.5000 0.0000 0.7500
V: 0.5000 0.5000 0.5000
Rh: 0.0000 0.0000 0.5000
Rh: 0.0000 0.5000 0.7500
Rh: 0.5000 0.0000 0.2500
Rh: 0.5000 0.5000 0.0000
S: 0.2412 0.2500 0.1250
S: 0.2500 0.7412 0.3750
S: 0.2500 0.7588 0.8750
S: 0.2588 0.2500 0.6250
S: 0.7412 0.7500 0.6250
S: 0.7500 0.2412 0.8750
S: 0.7500 0.2588 0.3750
S: 0.7588 0.7500 0.1250

***

Record 8
The following is a PBE calculation of an optimized crystal structure of Ta2VGa3, from the Alexandria database.

Crystal system: orthorhombic
Fermi-level density of states (states/eV/f.u.): 5.08
Energy relative to the elements (kJ per mole of atoms): -1.5

Unit cell a=6.1231 b=6.1231 c=5.2635 alpha=90.00 beta=90.00 gamma=94.34
Element x y z (fractional)
Ta: 0.0649 0.5958 0.7500
Ta: 0.4042 0.9351 0.7500
Ta: 0.5958 0.0649 0.2500
Ta: 0.9351 0.4042 0.2500
V: 0.2684 0.7316 0.2500
V: 0.7316 0.2684 0.7500
Ga: 0.0000 0.0000 0.0000
Ga: 0.0000 0.0000 0.5000
Ga: 0.3379 0.3379 0.0000
Ga: 0.3379 0.3379 0.5000
Ga: 0.6621 0.6621 0.0000
Ga: 0.6621 0.6621 0.5000